[1]
The following is a DFT calculation (PBE) of a relaxed ZnTePb2 crystal.

Results
ΔE to the lowest computed polymorph = 4.7 kJ/mol of atoms

a = 6.1182 Å, b = 6.1182 Å, c = 6.1182 Å
α = 142.32°, β = 125.82°, γ = 67.88°
Element x y z (fractional)
Pb (0.7403, 0.2403, 0.5000)
Pb (0.0332, 0.0332, 0.0000)
Te (0.4636, 0.4636, 0.0000)
Zn (0.2630, 0.7630, 0.5000)



[2]
The following is a DFT calculation (PBE) of a relaxed ZnTe2Pb crystal.

Results
ΔE to the lowest computed polymorph = 0.8 kJ/mol of atoms

a = 6.9351 Å, b = 6.9351 Å, c = 7.9763 Å
α = 64.23°, β = 64.23°, γ = 90.00°
Element x y z (fractional)
Pb (0.7500, 0.2500, 0.5000)
Pb (0.0000, 0.0000, 0.0000)
Te (0.8750, 0.8160, 0.7500)
Te (0.1840, 0.6250, 0.2500)
Te (0.5660, 0.1250, 0.2500)
Te (0.3750, 0.4340, 0.7500)
Zn (0.5000, 0.5000, 0.0000)
Zn (0.2500, 0.7500, 0.5000)



[3]
The following is a DFT calculation (PBE) of a relaxed ZnTePb4 crystal.

a = 6.4914 Å, b = 6.4914 Å, c = 6.4914 Å
α = 60.00°, β = 60.00°, γ = 60.00°
Element x y z (fractional)
Pb (0.3745, 0.3745, 0.8766)
Pb (0.3745, 0.3745, 0.3745)
Pb (0.8766, 0.3745, 0.3745)
Pb (0.3745, 0.8766, 0.3745)
Te (0.7500, 0.7500, 0.7500)
Zn (0.0000, 0.0000, 0.0000)



[4]
The following is a DFT calculation (PBE) of a relaxed Zn3TePb crystal.

Results
ΔE to the lowest computed polymorph = 0.0 kJ/mol of atoms

a = 5.2545 Å, b = 5.2545 Å, c = 5.2545 Å
α = 90.00°, β = 90.00°, γ = 90.00°
Element x y z (fractional)
Zn (0.0000, 0.5000, 0.0000)
Zn (0.0000, 0.0000, 0.5000)
Zn (0.5000, 0.0000, 0.0000)
Pb (0.0000, 0.0000, 0.0000)
Te (0.5000, 0.5000, 0.5000)



[5]
The following is a DFT calculation (PBE) of a relaxed ZnTePb2 crystal.

Results
ΔE to the lowest computed polymorph = 11.9 kJ/mol of atoms

a = 6.6126 Å, b = 6.6126 Å, c = 8.3179 Å
α = 66.58°, β = 66.58°, γ = 90.00°
Element x y z (fractional)
Pb (0.3750, 0.4199, 0.7500)
Pb (0.8750, 0.8301, 0.7500)
Pb (0.1699, 0.6250, 0.2500)
Pb (0.5801, 0.1250, 0.2500)
Te (0.0000, 0.0000, 0.0000)
Te (0.7500, 0.2500, 0.5000)
Zn (0.5000, 0.5000, 0.0000)
Zn (0.2500, 0.7500, 0.5000)



[6]
The following is a DFT calculation (PBE) of a relaxed Zn2TePb crystal.

Results
ΔE to the lowest computed polymorph = 23.0 kJ/mol of atoms

a = 5.5512 Å, b = 5.5512 Å, c = 5.5512 Å
α = 129.69°, β = 129.69°, γ = 73.90°
Element x y z (fractional)
Te (0.7500, 0.2500, 0.5000)
Zn (0.0000, 0.0000, 0.0000)
Zn (0.5000, 0.5000, 0.0000)
Pb (0.2500, 0.7500, 0.5000)



[7]
The following is a DFT calculation (PBE) of a relaxed ZnTe2Pb crystal.

Results
ΔE to the lowest computed polymorph = 18.5 kJ/mol of atoms

a = 3.9071 Å, b = 4.2614 Å, c = 7.5653 Å
α = 75.43°, β = 90.00°, γ = 90.00°
Element x y z (fractional)
Zn (0.5000, 0.2500, 0.2500)
Te (0.0000, 0.1612, 0.0116)
Te (0.0000, 0.3388, 0.4884)
Pb (0.5000, 0.7500, 0.7500)



[8]
The following is a DFT calculation (PBE) of a relaxed ZnTe2Pb crystal.

Results
ΔE to the lowest computed polymorph = 5.6 kJ/mol of atoms

a = 7.6226 Å, b = 7.6226 Å, c = 7.6226 Å
α = 33.03°, β = 33.03°, γ = 33.03°
Element x y z (fractional)
Pb (0.7500, 0.7500, 0.7500)
Zn (0.2500, 0.2500, 0.2500)
Te (0.9872, 0.9872, 0.9872)
Te (0.5128, 0.5128, 0.5128)



[9]
The following is a DFT calculation (PBE) of a relaxed ZnTePb2 crystal.

Results
ΔE to the lowest computed polymorph = 8.3 kJ/mol of atoms

a = 5.9348 Å, b = 5.9348 Å, c = 5.9348 Å
α = 137.47°, β = 124.10°, γ = 72.69°
Element x y z (fractional)
Zn (0.2500, 0.7500, 0.5000)
Pb (0.4805, 0.4805, 0.0000)
Pb (0.0195, 0.0195, 0.0000)
Te (0.7500, 0.2500, 0.5000)



[10]
The following is a DFT calculation (PBE) of a relaxed Zn2TePb crystal.

Results
ΔE to the lowest computed polymorph = 4.0 kJ/mol of atoms

a = 4.0443 Å, b = 4.0443 Å, c = 7.4346 Å
α = 74.80°, β = 74.80°, γ = 59.62°
Element x y z (fractional)
Zn (0.4917, 0.4917, 0.5229)
Zn (0.0083, 0.0083, 0.9771)
Te (0.7500, 0.7500, 0.7500)
Pb (0.2500, 0.2500, 0.2500)



[11]
The following is a DFT calculation (PBE) of a relaxed Zn2TePb crystal.

Results
ΔE to the lowest computed polymorph = 23.8 kJ/mol of atoms

a = 5.1484 Å, b = 5.1484 Å, c = 5.1484 Å
α = 60.00°, β = 60.00°, γ = 60.00°
Element x y z (fractional)
Zn (0.2500, 0.2500, 0.2500)
Zn (0.7500, 0.7500, 0.7500)
Te (0.0000, 0.0000, 0.0000)
Pb (0.5000, 0.5000, 0.5000)



[12]
The following is a DFT calculation (PBE) of a relaxed ZnTe2Pb crystal.

Results
ΔE to the lowest computed polymorph = 35.0 kJ/mol of atoms

a = 3.8483 Å, b = 3.8483 Å, c = 7.3984 Å
α = 90.00°, β = 90.00°, γ = 90.00°
Element x y z (fractional)
Te (0.0000, 0.0000, 0.0236)
Te (0.0000, 0.0000, 0.4764)
Pb (0.5000, 0.5000, 0.7500)
Zn (0.5000, 0.5000, 0.2500)



For reference, DFT total energy by record: -0.2164; -0.2292; -0.2158; -0.1224; -0.2109; -0.1580; -0.2157; -0.2255; -0.2137; -0.1724; -0.1574; -0.2032 Ry per atom.
For reference, raw formation energy by record: 0.014; -0.302; 0.272; 0.469; 0.088; 0.200; -0.118; -0.252; 0.051; 0.003; 0.209; 0.052 eV per atom.